The following is a PBE-GGA calculation of crystalline Si7Os6 at its relaxed geometry, from the Alexandria database.

- Crystal system: trigonal
- Space group: R-3m, No. 166
- Density: 12.7 g/cm³
- N(E_F): 5.55 states/eV/f.u.
- Formation energy from raw total energies: 185 meV/atom

abc: 9.124 9.124 9.124
angles: 30.67 30.67 30.67
Fractional positions:
Si 0.500 0.500 0.500
Si 0.417 0.417 0.915
Si 0.915 0.417 0.417
Os 0.673 0.673 0.673
Os 0.327 0.327 0.327
Os 0.828 0.828 0.828
Os 0.056 0.056 0.056
Si 0.417 0.915 0.417
Si 0.085 0.583 0.583
Os 0.172 0.172 0.172
Os 0.944 0.944 0.944
Si 0.583 0.085 0.583
Si 0.583 0.583 0.085

---

The following is a PBE-GGA calculation of crystalline Si5Os at its relaxed geometry, from the Alexandria database.

- Crystal system: monoclinic
- Space group: Cm, No. 8
- Density: 6.0 g/cm³
- Energy above the lowest structure with this stoichiometry: 0.0 meV per atom
- N(E_F): 2.34 states/eV/f.u.
- Formation energy from raw total energies: 149 meV/atom

abc: 6.034 6.034 6.109
angles: 60.42 60.42 28.70
Fractional positions:
Si 0.066 0.066 0.577
Si 0.459 0.459 0.385
Si 0.759 0.759 0.483
Os 0.953 0.953 0.051
Si 0.280 0.280 0.068
Si 0.650 0.650 0.937

---

The following is a PBE-GGA calculation of crystalline Si3Os at its relaxed geometry, from the Alexandria database.

- Crystal system: monoclinic
- Space group: P2/m, No. 10
- Density: 7.7 g/cm³
- N(E_F): 1.57 states/eV/f.u.
- Formation energy from raw total energies: 252 meV/atom

abc: 4.375 3.106 4.487
angles: 76.55 90.00 90.00
Fractional positions:
Os 0.000 0.000 0.000
Si 0.500 0.121 0.236
Si 0.000 0.500 0.500
Si 0.500 0.879 0.764

---

The following is a PBE-GGA calculation of crystalline Si23Os4 at its relaxed geometry, from the Alexandria database.

- Crystal system: cubic
- Space group: Pm-3n, No. 223
- Density: 4.6 g/cm³
- N(E_F): 17.78 states/eV/f.u.
- Formation energy from raw total energies: 911 meV/atom

abc: 10.019 10.019 10.019
angles: 90.00 90.00 90.00
Last column: magnetic moment on the atom in μB.
Fractional positions:
Si 0.615 0.187 0.500  0.04
Si 0.819 0.819 0.181  0.07
Si 0.000 0.500 0.250  0.06
Si 0.750 0.000 0.500  0.06
Si 0.000 0.500 0.750  0.06
Si 0.319 0.681 0.681  0.07
Si 0.181 0.181 0.181  0.07
Si 0.319 0.319 0.319  0.07
Os 0.500 0.500 0.500  1.99
Si 0.115 0.000 0.313  0.04
Si 0.385 0.187 0.500  0.04
Si 0.313 0.115 0.000  0.04
Si 0.000 0.313 0.885  0.04
Os 0.250 0.500 0.000  2.85
Si 0.181 0.819 0.819  0.07
Si 0.319 0.319 0.681  0.07
Si 0.187 0.500 0.385  0.04
Si 0.500 0.385 0.813  0.04
Si 0.813 0.500 0.615  0.04
Si 0.319 0.681 0.319  0.07
Si 0.687 0.115 0.000  0.04
Si 0.819 0.181 0.819  0.07
Si 0.115 0.000 0.687  0.04
Si 0.885 0.000 0.313  0.04
Si 0.500 0.750 0.000  0.06
Si 0.000 0.313 0.115  0.04
Os 0.000 0.750 0.500  2.85
Si 0.250 0.000 0.500  0.06
Si 0.681 0.319 0.319  0.07
Os 0.750 0.500 0.000  2.85
Si 0.885 0.000 0.687  0.04
Si 0.181 0.819 0.181  0.07
Si 0.385 0.813 0.500  0.04
Si 0.681 0.681 0.319  0.07
Os 0.000 0.250 0.500  2.85
Os 0.500 0.000 0.750  2.85
Si 0.187 0.500 0.615  0.04
Si 0.819 0.819 0.819  0.07
Si 0.681 0.681 0.681  0.07
Si 0.000 0.687 0.115  0.04
Si 0.313 0.885 0.000  0.04
Si 0.687 0.885 0.000  0.04
Si 0.500 0.615 0.813  0.04
Si 0.500 0.250 0.000  0.06
Os 0.000 0.000 0.000  1.99
Os 0.500 0.000 0.250  2.85
Si 0.681 0.319 0.681  0.07
Si 0.000 0.687 0.885  0.04
Si 0.500 0.615 0.187  0.04
Si 0.813 0.500 0.385  0.04
Si 0.181 0.181 0.819  0.07
Si 0.615 0.813 0.500  0.04
Si 0.500 0.385 0.187  0.04
Si 0.819 0.181 0.181  0.07

---

Across the entries above, energy takes the values -102.94 -37.45 -26.49 -290.09 eV/cell, respectively.